Computed, not measured: a geometry-optimized BeSiTcBi structure at the PBE level of DFT.

- magnetization (μB per formula unit) = 0.3
- DFT total energy (hartree per atom) = -0.188
- energy above the lowest structure with this stoichiometry (eV/f.u.) = 0.29
- crystal system = cubic

Cell lengths 6.435, 6.435, 6.435 Å; angles 90.00, 90.00, 90.00 degrees
Space group F-43m (No. 216)
Symmetry-distinct sites (fractional):
1 Be 0.000 0.000 0.000 (multiplicity 4)
2 Si 0.000 0.000 0.500 (multiplicity 4)
3 Tc 0.250 0.250 0.250 (multiplicity 4)
4 Bi 0.250 0.250 0.750 (multiplicity 4)

Computed, not measured: a geometry-optimized BeSiTcBi structure at the PBE level of DFT.

- magnetization (μB per formula unit) = 0.0
- DFT total energy (hartree per atom) = -0.191
- energy above the lowest structure with this stoichiometry (eV/f.u.) = 0.00
- crystal system = cubic

Cell lengths 6.397, 6.397, 6.397 Å; angles 90.00, 90.00, 90.00 degrees
Space group F-43m (No. 216)
Symmetry-distinct sites (fractional):
1 Be 0.000 0.000 0.000 (multiplicity 4)
2 Si 0.250 0.250 0.750 (multiplicity 4)
3 Tc 0.000 0.000 0.500 (multiplicity 4)
4 Bi 0.250 0.250 0.250 (multiplicity 4)

Computed, not measured: a geometry-optimized SmBeBi structure at the PBE level of DFT.

- magnetization (μB per formula unit) = 0.0
- DFT total energy (hartree per atom) = -0.141
- crystal system = cubic

Cell lengths 7.110, 7.110, 7.110 Å; angles 90.00, 90.00, 90.00 degrees
Space group F-43m (No. 216)
Symmetry-distinct sites (fractional):
1 Sm 0.000 0.000 0.000 (multiplicity 4)
2 Be 0.250 0.250 0.750 (multiplicity 4)
3 Bi 0.250 0.250 0.250 (multiplicity 4)

Computed, not measured: a geometry-optimized BeTcSnBi structure at the PBE level of DFT.

- magnetization (μB per formula unit) = 0.0
- DFT total energy (hartree per atom) = -0.178
- energy above the lowest structure with this stoichiometry (eV/f.u.) = 0.00
- crystal system = cubic

Cell lengths 6.699, 6.699, 6.699 Å; angles 90.00, 90.00, 90.00 degrees
Space group F-43m (No. 216)
Symmetry-distinct sites (fractional):
1 Be 0.000 0.000 0.000 (multiplicity 4)
2 Tc 0.000 0.000 0.500 (multiplicity 4)
3 Sn 0.250 0.250 0.750 (multiplicity 4)
4 Bi 0.250 0.250 0.250 (multiplicity 4)

Computed, not measured: a geometry-optimized TaBe2Bi structure at the PBE level of DFT.

- magnetization (μB per formula unit) = 0.2
- DFT total energy (hartree per atom) = -0.174
- crystal system = cubic

Cell lengths 6.524, 6.524, 6.524 Å; angles 90.00, 90.00, 90.00 degrees
Space group F-43m (No. 216)
Symmetry-distinct sites (fractional):
1 Ta 0.000 0.000 0.000 (multiplicity 4)
2 Be 0.000 0.000 0.500 (multiplicity 4)
3 Be 0.250 0.250 0.250 (multiplicity 4)
4 Bi 0.250 0.250 0.750 (multiplicity 4)

Computed, not measured: a geometry-optimized Ta2BeBi structure at the PBE level of DFT.

- magnetization (μB per formula unit) = 0.0
- DFT total energy (hartree per atom) = -0.260
- crystal system = cubic

Cell lengths 6.650, 6.650, 6.650 Å; angles 90.00, 90.00, 90.00 degrees
Space group F-43m (No. 216)
Symmetry-distinct sites (fractional):
1 Ta 0.000 0.000 0.000 (multiplicity 4)
2 Ta 0.250 0.250 0.250 (multiplicity 4)
3 Be 0.250 0.250 0.750 (multiplicity 4)
4 Bi 0.000 0.000 0.500 (multiplicity 4)

Computed, not measured: a geometry-optimized TaBeBiTe structure at the PBE level of DFT.

- magnetization (μB per formula unit) = 0.8
- DFT total energy (hartree per atom) = -0.168
- energy above the lowest structure with this stoichiometry (eV/f.u.) = 1.41
- crystal system = cubic

Cell lengths 7.054, 7.054, 7.054 Å; angles 90.00, 90.00, 90.00 degrees
Space group F-43m (No. 216)
Symmetry-distinct sites (fractional):
1 Ta 0.000 0.000 0.000 (multiplicity 4)
2 Be 0.250 0.250 0.250 (multiplicity 4)
3 Bi 0.250 0.250 0.750 (multiplicity 4)
4 Te 0.000 0.000 0.500 (multiplicity 4)

Computed, not measured: a geometry-optimized TaBeBiTe structure at the PBE level of DFT.

- magnetization (μB per formula unit) = 1.3
- DFT total energy (hartree per atom) = -0.181
- energy above the lowest structure with this stoichiometry (eV/f.u.) = 0.00
- crystal system = cubic

Cell lengths 6.970, 6.970, 6.970 Å; angles 90.00, 90.00, 90.00 degrees
Space group F-43m (No. 216)
Symmetry-distinct sites (fractional):
1 Ta 0.000 0.000 0.000 (multiplicity 4)
2 Be 0.000 0.000 0.500 (multiplicity 4)
3 Bi 0.250 0.250 0.250 (multiplicity 4)
4 Te 0.250 0.250 0.750 (multiplicity 4)

Computed, not measured: a geometry-optimized TaBeBiTe structure at the PBE level of DFT.

- magnetization (μB per formula unit) = 1.5
- DFT total energy (hartree per atom) = -0.173
- energy above the lowest structure with this stoichiometry (eV/f.u.) = 0.79
- crystal system = cubic

Cell lengths 7.015, 7.015, 7.015 Å; angles 90.00, 90.00, 90.00 degrees
Space group F-43m (No. 216)
Symmetry-distinct sites (fractional):
1 Ta 0.000 0.000 0.000 (multiplicity 4)
2 Be 0.250 0.250 0.250 (multiplicity 4)
3 Bi 0.000 0.000 0.500 (multiplicity 4)
4 Te 0.250 0.250 0.750 (multiplicity 4)

Computed, not measured: a geometry-optimized TaBeBiW structure at the PBE level of DFT.

- magnetization (μB per formula unit) = 0.0
- DFT total energy (hartree per atom) = -0.266
- energy above the lowest structure with this stoichiometry (eV/f.u.) = 0.49
- crystal system = cubic

Cell lengths 6.504, 6.504, 6.504 Å; angles 90.00, 90.00, 90.00 degrees
Space group F-43m (No. 216)
Symmetry-distinct sites (fractional):
1 Ta 0.000 0.000 0.000 (multiplicity 4)
2 Be 0.250 0.250 0.750 (multiplicity 4)
3 Bi 0.250 0.250 0.250 (multiplicity 4)
4 W 0.000 0.000 0.500 (multiplicity 4)

Computed, not measured: a geometry-optimized TaBeBiW structure at the PBE level of DFT.

- magnetization (μB per formula unit) = 0.0
- DFT total energy (hartree per atom) = -0.270
- energy above the lowest structure with this stoichiometry (eV/f.u.) = 0.00
- crystal system = cubic

Cell lengths 6.548, 6.548, 6.548 Å; angles 90.00, 90.00, 90.00 degrees
Space group F-43m (No. 216)
Symmetry-distinct sites (fractional):
1 Ta 0.000 0.000 0.000 (multiplicity 4)
2 Be 0.250 0.250 0.750 (multiplicity 4)
3 Bi 0.000 0.000 0.500 (multiplicity 4)
4 W 0.250 0.250 0.250 (multiplicity 4)

Computed, not measured: a geometry-optimized BeTc2Bi structure at the PBE level of DFT.

- magnetization (μB per formula unit) = 0.0
- DFT total energy (hartree per atom) = -0.237
- crystal system = cubic

Cell lengths 6.354, 6.354, 6.354 Å; angles 90.00, 90.00, 90.00 degrees
Space group F-43m (No. 216)
Symmetry-distinct sites (fractional):
1 Be 0.000 0.000 0.000 (multiplicity 4)
2 Tc 0.000 0.000 0.500 (multiplicity 4)
3 Tc 0.250 0.250 0.750 (multiplicity 4)
4 Bi 0.250 0.250 0.250 (multiplicity 4)

Computed, not measured: a geometry-optimized BeTcBi2 structure at the PBE level of DFT.

- magnetization (μB per formula unit) = 0.2
- DFT total energy (hartree per atom) = -0.165
- crystal system = cubic

Cell lengths 6.915, 6.915, 6.915 Å; angles 90.00, 90.00, 90.00 degrees
Space group F-43m (No. 216)
Symmetry-distinct sites (fractional):
1 Be 0.000 0.000 0.000 (multiplicity 4)
2 Tc 0.250 0.250 0.750 (multiplicity 4)
3 Bi 0.000 0.000 0.500 (multiplicity 4)
4 Bi 0.250 0.250 0.250 (multiplicity 4)

Computed, not measured: a geometry-optimized BeTcBi structure at the PBE level of DFT.

- magnetization (μB per formula unit) = 0.0
- DFT total energy (hartree per atom) = -0.197
- energy above the lowest structure with this stoichiometry (eV/f.u.) = 0.00
- crystal system = cubic

Cell lengths 5.906, 5.906, 5.906 Å; angles 90.00, 90.00, 90.00 degrees
Space group F-43m (No. 216)
Symmetry-distinct sites (fractional):
1 Be 0.000 0.000 0.000 (multiplicity 4)
2 Tc 0.250 0.250 0.250 (multiplicity 4)
3 Bi 0.250 0.250 0.750 (multiplicity 4)

Computed, not measured: a geometry-optimized ZrBeTcBi structure at the PBE level of DFT.

- magnetization (μB per formula unit) = 0.1
- DFT total energy (hartree per atom) = -0.228
- energy above the lowest structure with this stoichiometry (eV/f.u.) = 0.83
- crystal system = cubic

Cell lengths 6.626, 6.626, 6.626 Å; angles 90.00, 90.00, 90.00 degrees
Space group F-43m (No. 216)
Symmetry-distinct sites (fractional):
1 Zr 0.000 0.000 0.000 (multiplicity 4)
2 Be 0.000 0.000 0.500 (multiplicity 4)
3 Tc 0.250 0.250 0.750 (multiplicity 4)
4 Bi 0.250 0.250 0.250 (multiplicity 4)

Computed, not measured: a geometry-optimized ZrBeTcBi structure at the PBE level of DFT.

- magnetization (μB per formula unit) = 0.0
- DFT total energy (hartree per atom) = -0.234
- energy above the lowest structure with this stoichiometry (eV/f.u.) = 0.26
- crystal system = cubic

Cell lengths 6.570, 6.570, 6.570 Å; angles 90.00, 90.00, 90.00 degrees
Space group F-43m (No. 216)
Symmetry-distinct sites (fractional):
1 Zr 0.000 0.000 0.000 (multiplicity 4)
2 Be 0.250 0.250 0.250 (multiplicity 4)
3 Tc 0.000 0.000 0.500 (multiplicity 4)
4 Bi 0.250 0.250 0.750 (multiplicity 4)

Computed, not measured: a geometry-optimized ZrBeTcBi structure at the PBE level of DFT.

- magnetization (μB per formula unit) = 0.0
- DFT total energy (hartree per atom) = -0.236
- energy above the lowest structure with this stoichiometry (eV/f.u.) = 0.00
- crystal system = cubic

Cell lengths 6.564, 6.564, 6.564 Å; angles 90.00, 90.00, 90.00 degrees
Space group F-43m (No. 216)
Symmetry-distinct sites (fractional):
1 Zr 0.000 0.000 0.000 (multiplicity 4)
2 Be 0.250 0.250 0.250 (multiplicity 4)
3 Tc 0.250 0.250 0.750 (multiplicity 4)
4 Bi 0.000 0.000 0.500 (multiplicity 4)

Computed, not measured: a geometry-optimized ThBeBi structure at the PBE level of DFT.

- magnetization (μB per formula unit) = 0.0
- DFT total energy (hartree per atom) = -0.181
- crystal system = cubic

Cell lengths 6.710, 6.710, 6.710 Å; angles 90.00, 90.00, 90.00 degrees
Space group F-43m (No. 216)
Symmetry-distinct sites (fractional):
1 Th 0.000 0.000 0.000 (multiplicity 4)
2 Be 0.250 0.250 0.750 (multiplicity 4)
3 Bi 0.000 0.000 0.500 (multiplicity 4)

Computed, not measured: a geometry-optimized Be2BiW structure at the PBE level of DFT.

- magnetization (μB per formula unit) = 0.1
- DFT total energy (hartree per atom) = -0.178
- crystal system = cubic

Cell lengths 6.387, 6.387, 6.387 Å; angles 90.00, 90.00, 90.00 degrees
Space group F-43m (No. 216)
Symmetry-distinct sites (fractional):
1 Be 0.000 0.000 0.000 (multiplicity 4)
2 Be 0.250 0.250 0.250 (multiplicity 4)
3 Bi 0.000 0.000 0.500 (multiplicity 4)
4 W 0.250 0.250 0.750 (multiplicity 4)

Computed, not measured: a geometry-optimized BeBiW structure at the PBE level of DFT.

- magnetization (μB per formula unit) = 0.9
- DFT total energy (hartree per atom) = -0.210
- energy above the lowest structure with this stoichiometry (eV/f.u.) = 0.00
- crystal system = cubic

Cell lengths 6.034, 6.034, 6.034 Å; angles 90.00, 90.00, 90.00 degrees
Space group F-43m (No. 216)
Symmetry-distinct sites (fractional):
1 Be 0.000 0.000 0.000 (multiplicity 4)
2 Bi 0.250 0.250 0.750 (multiplicity 4)
3 W 0.250 0.250 0.250 (multiplicity 4)

no.,theoretical density (g/cm3)
1,8.58
2,8.73
3,6.81
4,9.60
5,9.76
6,13.09
7,9.97
8,10.33
9,10.13
10,14.07
11,13.79
12,10.72
13,10.55
14,10.19
15,9.30
16,9.54
17,9.56
18,9.89
19,10.47
20,12.15